# 1
## UTl2Te3 (PBE)

Data for crystalline UTl2Te3 at its relaxed geometry.

Cell lengths 8.385, 8.385, 13.073 Å; angles 90.00, 90.00, 149.15 degrees
Last column: magnetic moment on the atom in μB.
Positions (direct):
Tl: 0.657 0.343 0.250  -0.01
Tl: 0.343 0.657 0.750  -0.01
Tl: 0.644 0.356 0.750  0.00
Tl: 0.356 0.644 0.250  0.00
Te: 0.628 0.372 0.000  -0.09
Te: 0.995 0.005 0.750  -0.04
Te: 0.628 0.372 0.500  -0.09
Te: 0.372 0.628 0.500  -0.09
Te: 0.372 0.628 0.000  -0.09
Te: 0.005 0.995 0.250  -0.04
U: 0.000 0.000 0.000  2.23
U: 0.000 0.000 0.500  2.23

Results
- Magnetic moment: 4.02 μB per cell
- Space group: Cmcm (63)


# 2
## UTlTe (PBE)

Data for crystalline UTlTe at its relaxed geometry.

Cell lengths 5.178, 5.178, 5.178 Å; angles 60.00, 60.00, 60.00 degrees
Positions (direct):
U: 0.000 0.000 0.000
Te: 0.250 0.250 0.250
Tl: 0.750 0.750 0.750

Results
- Magnetic moment: 1.64 μB per cell
- Space group: F-43m (216)


# 3
## UTlTe (PBE)

Data for crystalline UTlTe at its relaxed geometry.

Cell lengths 5.186, 5.186, 5.186 Å; angles 60.00, 60.00, 60.00 degrees
Last column: magnetic moment on the atom in μB.
Positions (direct):
Tl: 0.250 0.250 0.250  0.04
U: 0.750 0.750 0.750  2.86
Te: 0.000 0.000 0.000  -0.04

Results
- Magnetic moment: 3.28 μB per cell
- Space group: F-43m (216)


# 4
## U2Tl2Te5 (PBE)

Data for crystalline U2Tl2Te5 at its relaxed geometry.

Cell lengths 9.539, 9.539, 8.352 Å; angles 90.00, 90.00, 51.83 degrees
Last column: magnetic moment on the atom in μB.
Positions (direct):
U: 0.151 0.849 0.349  2.29
U: 0.349 0.651 0.849  2.19
U: 0.651 0.349 0.151  2.19
U: 0.849 0.151 0.651  2.29
Te: 0.000 0.000 0.000  -0.12
Te: 0.032 0.732 0.650  -0.10
Te: 0.232 0.532 0.150  -0.10
Te: 0.968 0.268 0.350  -0.10
Te: 0.768 0.468 0.850  -0.10
Te: 0.500 0.500 0.500  -0.12
Te: 0.732 0.032 0.350  -0.10
Te: 0.468 0.768 0.150  -0.10
Te: 0.532 0.232 0.850  -0.10
Te: 0.268 0.968 0.650  -0.10
Tl: 0.702 0.702 0.500  -0.01
Tl: 0.298 0.298 0.500  -0.01
Tl: 0.202 0.202 0.000  -0.01
Tl: 0.798 0.798 0.000  -0.01

Results
- Magnetic moment: 8.01 μB per cell
- Space group: Cmce (64)


# 5
## Tl2Te3W (PBE)

Data for crystalline Tl2Te3W at its relaxed geometry.

Cell lengths 8.317, 4.164, 11.106 Å; angles 90.00, 95.71, 90.00 degrees
Last column: magnetic moment on the atom in μB.
Positions (direct):
Te: 0.061 0.750 0.713  -0.03
Te: 0.176 0.250 0.019  -0.04
Te: 0.626 0.250 0.698  -0.02
Te: 0.374 0.750 0.302  -0.02
Te: 0.939 0.250 0.287  -0.03
Te: 0.824 0.750 0.981  -0.04
Tl: 0.757 0.750 0.501  0.00
Tl: 0.243 0.250 0.499  0.00
Tl: 0.427 0.750 0.857  0.01
Tl: 0.573 0.250 0.143  0.01
W: 0.084 0.750 0.169  1.57
W: 0.916 0.250 0.831  1.57

Results
- Magnetic moment: 3.99 μB per cell
- Space group: P2_1/m (11)


# 6
## TlTeW (PBE)

Data for crystalline TlTeW at its relaxed geometry.

Cell lengths 4.712, 4.712, 4.712 Å; angles 60.00, 60.00, 60.00 degrees
Positions (direct):
Tl: 0.750 0.750 0.750
W: 0.000 0.000 0.000
Te: 0.250 0.250 0.250

Results
- Magnetic moment: 0.46 μB per cell
- Space group: F-43m (216)


# 7
## YZrTlTe3 (PBE)

Data for crystalline YZrTlTe3 at its relaxed geometry.

Cell lengths 7.958, 7.958, 11.768 Å; angles 90.00, 90.00, 149.77 degrees
Positions (direct):
Te: 0.437 0.563 0.250
Te: 0.563 0.437 0.750
Te: 0.854 0.146 0.971
Te: 0.146 0.854 0.471
Te: 0.146 0.854 0.029
Te: 0.854 0.146 0.529
Zr: 0.071 0.929 0.250
Zr: 0.929 0.071 0.750
Tl: 0.260 0.740 0.750
Tl: 0.740 0.260 0.250
Y: 0.500 0.500 0.500
Y: 0.500 0.500 0.000

Results
- Magnetic moment: 0.02 μB per cell
- Space group: Cmcm (63)


# 8
## TlZnTe2 (PBE)

Data for crystalline TlZnTe2 at its relaxed geometry.

Cell lengths 5.415, 5.415, 5.415 Å; angles 60.00, 60.00, 60.00 degrees
Positions (direct):
Te: 0.000 0.000 0.000
Te: 0.750 0.750 0.750
Tl: 0.250 0.250 0.250
Zn: 0.500 0.500 0.500

Results
- Space group: F-43m (216)


# 9
## ZrTlZnTe3 (PBE)

Data for crystalline ZrTlZnTe3 at its relaxed geometry.

Cell lengths 8.115, 8.115, 11.015 Å; angles 90.00, 90.00, 150.68 degrees
Last column: magnetic moment on the atom in μB.
Positions (direct):
Te: 0.632 0.368 0.951  0.00
Te: 0.368 0.632 0.451  0.00
Te: 0.368 0.632 0.049  0.00
Te: 0.075 0.925 0.250  -0.01
Te: 0.925 0.075 0.750  -0.01
Te: 0.632 0.368 0.549  0.00
Tl: 0.757 0.243 0.250  0.01
Tl: 0.243 0.757 0.750  0.01
Zn: 0.537 0.463 0.750  0.00
Zn: 0.463 0.537 0.250  0.00
Zr: 0.000 0.000 0.000  0.41
Zr: 0.000 0.000 0.500  0.39

Results
- Magnetic moment: 1.40 μB per cell
- Space group: Cmcm (63)


# 10
## ZrTlZnTe3 (PBE)

Data for crystalline ZrTlZnTe3 at its relaxed geometry.

Cell lengths 4.068, 11.017, 8.215 Å; angles 90.00, 102.79, 90.00 degrees
Last column: magnetic moment on the atom in μB.
Positions (direct):
Tl: 0.291 0.250 0.514  0.01
Tl: 0.709 0.750 0.486  0.01
Te: 0.881 0.451 0.739  0.00
Te: 0.119 0.549 0.261  0.00
Te: 0.881 0.049 0.739  0.00
Te: 0.417 0.750 0.853  0.00
Te: 0.583 0.250 0.147  0.00
Te: 0.119 0.951 0.261  0.00
Zr: 0.500 0.000 0.000  0.17
Zr: 0.500 0.500 0.000  0.18
Zn: 0.987 0.250 0.924  0.00
Zn: 0.013 0.750 0.076  0.00

Results
- Magnetic moment: 0.64 μB per cell
- Space group: P2_1/m (11)


# 11
## ZrTlTe2 (PBE)

Data for crystalline ZrTlTe2 at its relaxed geometry.

Cell lengths 4.010, 4.010, 8.859 Å; angles 90.00, 90.00, 120.00 degrees
Positions (direct):
Tl: 0.000 0.000 0.000
Zr: 0.000 0.000 0.500
Te: 0.667 0.333 0.297
Te: 0.333 0.667 0.703

Results
- Magnetic moment: 0.01 μB per cell
- Space group: P-3m1 (164)


# 12
## Zr3TlTe5 (PBE)

Data for crystalline Zr3TlTe5 at its relaxed geometry.

Cell lengths 6.347, 6.347, 8.368 Å; angles 90.00, 90.00, 120.00 degrees
Positions (direct):
Zr: 0.500 0.500 0.500
Zr: 0.000 0.500 0.500
Zr: 0.500 0.000 0.500
Te: 0.667 0.333 0.229
Te: 0.000 0.000 0.500
Te: 0.333 0.667 0.771
Te: 0.667 0.333 0.771
Te: 0.333 0.667 0.229
Tl: 0.000 0.000 0.000

Results
- Magnetic moment: 0.01 μB per cell
- Space group: P6/mmm (191)


Record-wise V values, in A^3/atom: 39.278 32.731 32.869 33.190 31.890 24.654 31.263 28.075 29.600 29.918 30.840 32.441
Record-wise electronic total energy values, in eV per atom: -4.6641 -5.3388 -5.2901 -5.3250 -4.5006 -5.1275 -5.2806 -2.3038 -4.1287 -4.1285 -4.9970 -5.5644